# ScGe2WO8 (PBE+U, optimized geometry)
# **Final energy**: -7.260 eV per atom
data_ScGe2WO8
_cell_length_a 6.691
_cell_length_b 6.691
_cell_length_c 6.234
_cell_angle_alpha 90.00
_cell_angle_beta 90.00
_cell_angle_gamma 90.00
_space_group_name_H-M_alt 'I -4 m 2'
_space_group_IT_number 119
_space_group_name_Hall 'I -4 -2'
loop_
_atom_site_label
_atom_site_type_symbol
_atom_site_fract_x
_atom_site_fract_y
_atom_site_fract_z
Sc1 Sc 0.000 0.000 0.000
Ge1 Ge 0.000 0.000 0.500
Ge2 Ge 0.000 0.500 0.750
W1 W 0.000 0.500 0.250
O1 O 0.000 0.191 0.307
O2 O 0.000 0.320 0.957